The following is a PBE calculation of crystalline CsBaBiCl6 at its relaxed geometry, from the Alexandria database.

```
18
Lattice="7.7767 0.0000 0.0000 -3.8884 6.7348 0.0000 0.0000 0.0000 14.5967" Properties=species:S:1:pos:R:3 pbc="T T T"
Cs 0.0000 0.0000 0.0000
Cs 0.0000 0.0000 7.2983
Ba 0.0000 4.4899 3.6492
Ba 3.8884 2.2449 10.9475
Bi 3.8884 2.2449 3.6492
Bi 0.0000 4.4899 10.9475
Cl 2.6425 4.1186 2.0742
Cl 6.1339 2.3871 2.0742
Cl -0.9997 6.5056 9.3726
Cl -2.2455 4.3478 12.5224
Cl 1.6428 2.3871 5.2241
Cl 5.1342 4.1186 5.2241
Cl 0.9997 6.5056 12.5224
Cl 4.8881 0.2292 5.2241
Cl -1.2458 2.6163 9.3726
Cl 2.8887 0.2292 2.0742
Cl 2.2455 4.3478 9.3726
Cl 1.2458 2.6163 12.5224
```

## Properties
- Formation energy without anion corrections: -1.75 eV per atom
- E: -3.724 eV per atom